Entry from Alexandria: an optimized crystal structure of RbNa2Ga2P2 (GGA-PBE).

## Properties
Total DFT energy (no corrections) (eV/atom): -3.25

Unit cell a=11.3815 b=3.8699 c=9.6021 alpha=90.00 beta=100.60 gamma=90.00
Last column: nearest neighbours and their distance in Å.
Fractional coordinates of all 14 atoms:
1 Rb 0.0000 0.0000 0.0000  4 P 3.44, 2 Ga 3.66
2 Rb 0.5000 0.5000 0.0000  4 P 3.44, 2 Ga 3.66
3 Na 0.1855 0.5000 0.6311  3 P 3.01-3.22, 5 Ga 3.16-3.27
4 Na 0.3145 0.0000 0.3689  3 P 3.01-3.22, 5 Ga 3.16-3.27
5 Na 0.6855 0.0000 0.6311  3 P 3.01-3.22, 5 Ga 3.16-3.27
6 Na 0.8145 0.5000 0.3689  3 P 3.01-3.22, 5 Ga 3.16-3.27
7 Ga 0.0358 0.0000 0.3862  2 P 2.37, 1 Ga 2.47
8 Ga 0.4642 0.5000 0.6138  2 P 2.37, 1 Ga 2.47
9 Ga 0.5358 0.5000 0.3862  2 P 2.37, 1 Ga 2.47
10 Ga 0.9642 0.0000 0.6138  2 P 2.37, 1 Ga 2.47
11 P 0.1108 0.5000 0.2910  2 Ga 2.37
12 P 0.3892 0.0000 0.7090  2 Ga 2.37
13 P 0.6108 0.0000 0.2910  2 Ga 2.37
14 P 0.8892 0.5000 0.7090  2 Ga 2.37